1.
First-principles (meta-GGA SCAN) data for a PBEsol-optimized structure of NaHCO3, as listed in Alexandria via LeMat-Bulk.

Values from the calculation:
The theoretical density comes out at 2.26 g/cm3. Its total energy is -7.688 eV per atom.

The structure in POSCAR format:
```
NaHCO3
1.0
3.4614 0.0000 0.0000
0.0000 9.7368 0.0000
-3.0208 0.0000 7.3377
Na H C O
4 4 4 12
Cartesian
-0.6014 0.0428 2.0881
-2.1118 4.8256 5.7570
2.5524 4.9112 1.5807
1.0420 9.6940 5.2496
-1.2604 7.2552 4.8258
0.2501 7.3500 1.1570
0.1905 2.3868 6.1807
1.7009 2.4816 2.5119
0.7434 2.3484 0.5530
-0.7670 2.5200 4.2218
1.2076 7.2168 3.1159
-0.3028 7.3884 6.7847
-1.6825 6.5565 4.1199
-0.1721 8.0486 0.4511
-0.6745 1.2584 4.1886
0.8359 3.6100 0.5197
0.7965 6.4902 2.1336
-0.7139 8.1150 5.8024
1.1545 1.6218 1.5353
-0.3559 3.2466 5.2041
-0.3953 6.1268 6.8180
1.1151 8.4784 3.1491
0.6127 1.6881 6.8866
2.1231 3.1802 3.2178
```


2.
First-principles (meta-GGA SCAN) data for a PBEsol-optimized structure of Na2H2CO4, as listed in Alexandria via LeMat-Bulk.

Values from the calculation:
The theoretical density comes out at 2.31 g/cm3. Its total energy is -7.216 eV per atom.

The structure in POSCAR format:
```
Na2H2CO4
1.0
10.7102 0.0000 0.0000
0.0000 5.2485 0.0000
0.0000 0.0000 6.3486
Na H C O
8 8 4 16
Cartesian
0.0087 0.7323 0.0000
2.0190 3.3938 5.8535
3.3361 3.3938 2.6792
5.3464 0.7323 3.1743
5.3638 4.5162 0.0000
7.3741 1.8547 5.8535
8.6912 1.8547 2.6792
10.7015 4.5162 3.1743
0.7091 1.6378 3.6754
0.9948 2.0719 2.1888
4.3603 2.0719 5.3631
4.6460 1.6378 0.5011
6.0642 3.6107 3.6754
6.3499 3.1766 2.1888
9.7153 3.1766 5.3631
10.0011 3.6107 0.5011
2.6329 0.5959 1.3555
2.7222 0.5959 4.5298
7.9880 4.6526 1.3555
8.0773 4.6526 4.5298
0.3191 2.2040 2.9405
1.4408 0.3696 4.5950
1.7960 4.8668 1.4444
2.2107 1.8154 1.2014
3.1444 1.8154 4.3757
3.5591 4.8668 4.6187
3.9143 0.3696 1.4207
5.0359 2.2040 6.1148
5.6742 3.0445 2.9405
6.7959 4.8789 4.5950
7.1511 0.3817 1.4444
7.5658 3.4331 1.2014
8.4995 3.4331 4.3757
8.9142 0.3817 4.6187
9.2694 4.8789 1.4207
10.3910 3.0445 6.1148
```


3.
First-principles (meta-GGA SCAN) data for a PBEsol-optimized structure of NaH3C2O5, as listed in Alexandria via LeMat-Bulk.

Values from the calculation:
The theoretical density comes out at 1.96 g/cm3. Its total energy is -7.284 eV per atom.

The structure in POSCAR format:
```
NaH3C2O5
1.0
5.6420 0.0000 0.0000
2.0967 6.0913 0.0000
0.5115 1.5207 6.4192
Na H C O
2 6 4 10
Cartesian
1.8971 1.6000 0.1773
6.3531 6.0120 6.2419
0.8264 2.4189 3.8743
7.4238 5.1932 2.5449
3.1772 5.3813 4.9026
3.4752 5.8929 6.3944
4.7750 1.7191 0.0248
5.0730 2.2307 1.5166
2.7955 2.2689 3.4871
4.0517 5.2795 2.2724
4.1985 2.3325 4.1468
5.4547 5.3431 2.9321
1.8153 2.4685 4.3292
2.8702 5.3298 5.8443
3.0779 5.2138 3.0880
2.6802 2.0300 2.2865
3.9801 5.3140 1.0195
4.2701 2.2980 5.3997
5.5700 5.5820 4.1327
5.1723 2.3982 3.3312
5.3800 2.2822 0.5749
6.4349 5.1435 2.0900
```


4.
First-principles (meta-GGA SCAN) data for a PBEsol-optimized structure of Na3H5C2O8, as listed in Alexandria via LeMat-Bulk.

Values from the calculation:
The theoretical density comes out at 2.18 g/cm3. Its total energy is -7.079 eV per atom.

The structure in POSCAR format:
```
Na3H5C2O8
1.0
9.9425 -1.7516 0.0000
9.9425 1.7516 0.0000
-3.0730 0.0000 9.9030
Na H C O
6 10 4 16
Cartesian
6.6364 0.5467 0.7097
7.6377 0.8907 7.4272
11.7121 0.5467 4.2418
5.0999 -0.5467 5.6612
9.1743 -0.8907 2.4757
10.1755 -0.5467 9.1933
4.1083 0.8380 3.6135
3.0277 0.2944 2.5504
1.4912 -0.2944 7.5019
14.2402 0.8380 1.3380
9.9425 0.0000 0.0000
8.4060 0.0000 4.9515
2.5717 -0.8380 8.5650
15.3208 0.2944 2.4011
13.7843 -0.2944 7.3525
12.7037 -0.8380 6.2895
6.8639 0.9473 3.9022
11.4846 0.9473 1.0493
5.3273 -0.9473 8.8537
9.9481 -0.9473 6.0008
3.1631 0.5460 3.5224
1.1861 0.2763 6.0050
7.6016 0.8792 2.8669
2.7226 -0.2763 1.0536
7.2853 0.4593 5.0578
10.7469 0.8792 2.0846
1.6266 -0.5460 8.4739
7.9901 0.4593 9.7967
8.8219 -0.4593 0.1063
15.1854 0.5460 1.4290
6.0651 -0.8792 7.8184
9.5266 -0.4593 4.8452
14.0894 0.2763 8.8494
9.2104 -0.8792 7.0360
15.6259 -0.2763 3.8979
13.6489 -0.5460 6.3805
```


5.
First-principles (meta-GGA SCAN) data for a PBEsol-optimized structure of Rb2NaH5C2O8, as listed in Alexandria via LeMat-Bulk.

Values from the calculation:
The theoretical density comes out at 2.58 g/cm3. Its total energy is -8.928 eV per atom.

The structure in POSCAR format:
```
Rb2NaH5C2O8
1.0
9.4056 0.0000 0.0000
0.0000 8.0176 0.0000
0.0000 0.0000 11.9818
Rb Na H C O
8 4 20 8 32
Cartesian
2.1145 0.0831 1.2989
2.1145 3.9257 1.2989
2.5883 4.0919 7.2899
2.5883 7.9345 7.2899
6.8173 0.0831 4.6920
6.8173 3.9257 4.6920
7.2911 4.0919 10.6829
7.2911 7.9345 10.6829
0.6052 6.0132 3.7926
4.0975 2.0044 9.7835
5.3080 6.0132 2.1983
8.8003 2.0044 8.1892
0.0500 6.0132 0.3159
0.1149 4.9756 8.5040
0.1149 7.0508 8.5040
1.1922 0.9207 4.3721
1.1922 3.0881 4.3721
3.5106 4.9294 10.3630
3.5106 7.0969 10.3630
4.5879 0.9668 2.5131
4.5879 3.0420 2.5131
4.6528 2.0044 6.3068
4.7528 6.0132 5.6750
4.8177 4.9756 9.4688
4.8177 7.0508 9.4688
5.8950 0.9207 1.6188
5.8950 3.0881 1.6188
8.2134 4.9294 7.6098
8.2134 7.0969 7.6098
9.2907 0.9668 3.4779
9.2907 3.0420 3.4779
9.3556 2.0044 11.6659
1.2778 6.0132 10.3878
1.3775 2.0044 10.2404
3.3252 6.0132 4.2495
3.4250 2.0044 4.3969
5.9806 6.0132 7.5849
6.0803 2.0044 7.7323
8.0280 6.0132 1.7414
8.1277 2.0044 1.5940
0.0616 2.0044 10.5564
0.1097 6.0132 10.9632
0.5133 0.3310 3.9325
0.5133 3.6778 3.9325
1.3251 6.0132 9.0934
1.6619 2.0044 8.9969
2.2316 2.0044 11.1803
2.3439 2.0044 5.1089
2.3589 6.0132 11.0998
2.4712 6.0132 5.1894
3.0408 6.0132 3.0060
3.3776 2.0044 3.1025
4.1895 4.3397 9.9234
4.1895 7.6866 9.9234
4.5931 2.0044 4.9723
4.6412 6.0132 4.5655
4.7644 2.0044 7.4164
4.8124 6.0132 7.0095
5.2161 0.3310 2.0584
5.2161 3.6778 2.0584
6.0279 6.0132 8.8793
6.3647 2.0044 8.9758
6.9344 2.0044 6.7924
7.0467 2.0044 0.8820
7.0616 6.0132 6.8729
7.1740 6.0132 0.8015
7.7436 6.0132 2.9849
8.0804 2.0044 2.8884
8.8922 4.3397 8.0493
8.8922 7.6866 8.0493
9.2959 2.0044 1.0186
9.3440 6.0132 1.4255
```


6.
First-principles (meta-GGA SCAN) data for a PBEsol-optimized structure of Na5ScH4C4O14, as listed in Alexandria via LeMat-Bulk.

Values from the calculation:
The theoretical density comes out at 2.27 g/cm3. Its total energy is -8.169 eV per atom.

The structure in POSCAR format:
```
Na5ScH4C4O14
1.0
7.4493 0.0000 0.0000
0.0000 7.4493 0.0000
0.0000 0.0000 11.5195
Na Sc H C O
10 2 8 8 28
Cartesian
0.0000 0.0000 0.0000
1.3324 2.3635 8.1897
1.3611 2.3922 2.4300
2.3635 6.1168 3.3297
2.3922 6.0882 9.0895
3.7246 3.7246 5.7597
5.0571 1.3611 9.0895
5.0858 1.3324 3.3297
6.0882 5.0571 2.4300
6.1168 5.0858 8.1897
0.0000 0.0000 5.7597
3.7246 3.7246 0.0000
0.4529 4.3802 4.4544
0.6555 4.1776 10.2141
3.0691 0.4529 7.0651
3.2717 0.6555 1.3053
4.1776 6.7938 1.3053
4.3802 6.9964 7.0651
6.7938 3.2717 10.2141
6.9964 3.0691 4.4544
1.2977 5.3439 6.6439
1.6193 5.0224 0.8842
2.1054 1.2977 4.8756
2.4269 1.6193 10.6353
5.0224 5.8300 10.6353
5.3439 6.1516 4.8756
5.8300 2.4269 0.8842
6.1516 2.1054 6.6439
0.0000 3.7246 3.8478
0.0000 3.7246 9.6075
0.6509 5.7023 1.3271
0.6848 6.1892 7.4317
1.1556 5.6005 5.3588
1.2601 0.6848 4.0878
1.7470 0.6509 10.1923
1.8488 1.1556 6.1606
1.8759 4.8802 11.1186
1.9777 4.3756 7.0869
2.4646 4.4094 1.6719
2.5691 1.8759 0.4009
3.0399 2.4646 9.8475
3.0737 1.9777 4.4326
3.7246 0.0000 1.9119
3.7246 0.0000 7.6717
4.3756 5.4716 4.4326
4.4094 4.9847 9.8475
4.8802 5.5734 0.4009
4.9847 3.0399 1.6719
5.4716 3.0737 7.0869
5.5734 2.5691 11.1186
5.6005 6.2937 6.1606
5.7023 6.7984 10.1923
6.1892 6.7645 4.0878
6.2937 1.8488 5.3588
6.7645 1.2601 7.4317
6.7984 1.7470 1.3271
```


7.
First-principles (meta-GGA SCAN) data for a PBEsol-optimized structure of NaYH8C4O12, as listed in Alexandria via LeMat-Bulk.

Values from the calculation:
The theoretical density comes out at 2.29 g/cm3. Its total energy is -8.231 eV per atom.

The structure in POSCAR format:
```
NaYH8C4O12
1.0
8.5815 0.0000 0.0000
0.0000 8.5846 0.0000
-3.5073 0.0000 14.1503
Na Y H C O
4 4 32 16 48
Cartesian
0.0000 1.0306 0.0000
-1.7537 7.5540 7.0751
0.8976 1.6374 7.0709
-0.8561 6.9472 14.1460
0.1064 3.4557 3.0035
-1.6472 5.1289 10.0787
2.6847 0.8478 11.1454
4.4384 7.7367 4.0703
-1.4280 2.0005 8.1252
0.3257 6.5841 1.0500
1.1191 3.8207 0.2710
-0.6346 4.7639 7.3461
1.2518 4.2053 6.0742
-0.5019 4.3793 13.1493
-0.4826 0.6945 13.0979
1.2711 7.8901 6.0228
2.7303 1.5134 0.2800
0.9766 7.0712 7.3551
3.4238 3.8858 0.4176
1.6702 4.6988 7.4928
4.5170 2.1692 1.6415
2.7634 6.4153 8.7167
3.4451 1.9893 8.0338
5.1987 6.5953 0.9587
3.9632 2.4134 6.6258
2.2096 6.1712 13.7009
2.1246 1.4961 14.0572
3.8783 7.0884 6.9821
4.0213 0.1183 6.7966
2.2677 8.4663 13.8717
5.5241 3.3705 1.2956
3.7704 5.2140 8.3708
2.7449 4.0617 12.8100
4.4986 4.5229 5.7348
5.7180 3.5090 5.4705
3.9644 5.0756 12.5456
6.3730 1.6381 6.7764
4.6194 6.9465 13.8515
8.0864 3.9529 0.0880
6.3328 4.6316 7.1631
0.3045 2.5912 9.9560
2.0581 5.9934 2.8808
1.8374 1.0279 4.1866
0.0837 7.5567 11.2617
2.6058 1.5265 2.9572
0.8522 7.0581 10.0323
0.7632 3.3584 11.2113
2.5169 5.2262 4.1362
4.4447 3.2160 9.9543
6.1983 5.3686 2.8792
6.3940 1.6092 4.1983
4.6403 6.9754 11.2735
6.8108 0.9040 2.8941
5.0572 7.6806 9.9693
5.1636 2.8080 11.2609
6.9173 5.7766 4.1858
-1.4798 1.3565 7.3697
0.2739 7.2281 0.2946
0.2279 3.4780 0.5971
-1.5257 5.1066 7.6722
-2.3485 3.4010 11.5319
-0.5949 5.1836 4.4568
-0.7001 3.0687 9.3496
1.0536 5.5159 2.2745
0.8080 1.6711 4.5248
-0.9457 6.9135 11.6000
-1.0981 0.7723 13.8768
0.6556 7.8123 6.8017
2.0413 2.3707 2.2120
0.2877 6.2139 9.2872
0.9750 4.1574 7.0272
-0.7787 4.4272 14.1023
1.8989 4.1628 4.4169
0.1453 4.4218 11.4920
0.9520 1.5665 9.6143
2.7057 7.0180 2.5392
2.3119 0.0124 4.7781
0.5582 8.5722 11.8533
3.7717 1.0645 2.7733
2.0181 7.5201 9.8484
1.7267 2.8776 11.8760
3.4804 5.7070 4.8009
4.8532 2.7491 0.8977
3.0995 5.8355 7.9728
3.4124 1.7153 7.0764
5.1661 6.8693 0.0013
3.3958 2.5848 9.6567
5.1495 5.9998 2.5816
2.6079 0.7779 13.5518
4.3616 7.8067 6.4767
5.0938 3.8542 6.1738
3.3401 4.7303 13.2489
5.5905 1.0066 4.9616
3.8368 7.5779 12.0367
4.4525 0.1592 9.6965
6.2061 8.4254 2.6214
4.9466 4.1582 9.2731
6.7002 4.4264 2.1980
4.5970 1.9125 11.9541
6.3507 6.6721 4.8790
6.8609 2.7647 4.4127
5.1072 5.8198 11.4879
7.7065 1.4760 2.2048
5.9528 7.1086 9.2799
```


Please write out number 6 again, unchanged.
First-principles (meta-GGA SCAN) data for a PBEsol-optimized structure of Na5ScH4C4O14, as listed in Alexandria via LeMat-Bulk.

Values from the calculation:
The theoretical density comes out at 2.27 g/cm3. Its total energy is -8.169 eV per atom.

The structure in POSCAR format:
```
Na5ScH4C4O14
1.0
7.4493 0.0000 0.0000
0.0000 7.4493 0.0000
0.0000 0.0000 11.5195
Na Sc H C O
10 2 8 8 28
Cartesian
0.0000 0.0000 0.0000
1.3324 2.3635 8.1897
1.3611 2.3922 2.4300
2.3635 6.1168 3.3297
2.3922 6.0882 9.0895
3.7246 3.7246 5.7597
5.0571 1.3611 9.0895
5.0858 1.3324 3.3297
6.0882 5.0571 2.4300
6.1168 5.0858 8.1897
0.0000 0.0000 5.7597
3.7246 3.7246 0.0000
0.4529 4.3802 4.4544
0.6555 4.1776 10.2141
3.0691 0.4529 7.0651
3.2717 0.6555 1.3053
4.1776 6.7938 1.3053
4.3802 6.9964 7.0651
6.7938 3.2717 10.2141
6.9964 3.0691 4.4544
1.2977 5.3439 6.6439
1.6193 5.0224 0.8842
2.1054 1.2977 4.8756
2.4269 1.6193 10.6353
5.0224 5.8300 10.6353
5.3439 6.1516 4.8756
5.8300 2.4269 0.8842
6.1516 2.1054 6.6439
0.0000 3.7246 3.8478
0.0000 3.7246 9.6075
0.6509 5.7023 1.3271
0.6848 6.1892 7.4317
1.1556 5.6005 5.3588
1.2601 0.6848 4.0878
1.7470 0.6509 10.1923
1.8488 1.1556 6.1606
1.8759 4.8802 11.1186
1.9777 4.3756 7.0869
2.4646 4.4094 1.6719
2.5691 1.8759 0.4009
3.0399 2.4646 9.8475
3.0737 1.9777 4.4326
3.7246 0.0000 1.9119
3.7246 0.0000 7.6717
4.3756 5.4716 4.4326
4.4094 4.9847 9.8475
4.8802 5.5734 0.4009
4.9847 3.0399 1.6719
5.4716 3.0737 7.0869
5.5734 2.5691 11.1186
5.6005 6.2937 6.1606
5.7023 6.7984 10.1923
6.1892 6.7645 4.0878
6.2937 1.8488 5.3588
6.7645 1.2601 7.4317
6.7984 1.7470 1.3271
```


Q: What is the formula in the second record?
A: Na2H2CO4


Q: The lowest total energy belongs to which entry?
A: Rb2NaH5C2O8